A relaxed structure of K3ZrFe. Source: the Alexandria database, functional PBE.

Lattice parameters (Å, degrees): 6.285 6.285 6.285 90.00 90.00 90.00
Each line ends with the local moment (μB).
Element x y z (fractional)
Fe 0.000 0.000 0.000  2.89
Zr 0.500 0.500 0.500  1.70
K 0.500 0.000 0.000  0.02
K 0.000 0.500 0.000  0.02
K 0.000 0.000 0.500  0.02

Output
calculated formation energy	1588.6	meV per atom
SG	No. 221
spin magnetization	1.314	μB per atom
crystal system	cubic
D(E_F)	22.487	states/eV/cell